Entry from the Alexandria database: a geometry-optimized Ti2Zn6Rh structure (GGA-PBE).

```
data_Ti2Zn6Rh
_space_group_name_H-M_alt 'C 1 2/m 1'
_space_group_IT_number 12
_space_group_name_Hall '-C 2y'
_cell_length_a 8.648
_cell_length_b 7.259
_cell_length_c 5.154
_cell_angle_alpha 90.00
_cell_angle_beta 120.87
_cell_angle_gamma 90.00
loop_
_atom_site_label
_atom_site_fract_x
_atom_site_fract_y
_atom_site_fract_z
_atom_site_occupancy
Ti1 0.174 0.000 0.298 1
Zn1 0.000 0.331 0.000 1
Zn2 0.148 0.172 0.753 1
Rh1 0.000 0.500 0.500 1
```

Summary:
Mass density = 7.069 Mg/m³
DFT formation energy = -100 meV per atom



Entry from the Alexandria database: a geometry-optimized Ce2SmSi2Au2 structure (GGA-PBE).

```
data_Ce2SmSi2Au2
_space_group_name_H-M_alt 'R -3 m'
_space_group_IT_number 166
_space_group_name_Hall '-R 3 2"'
_cell_length_a 4.3389
_cell_length_b 4.3389
_cell_length_c 27.9653
_cell_angle_alpha 90.00
_cell_angle_beta 90.00
_cell_angle_gamma 120.00
loop_
_atom_site_label
_atom_site_fract_x
_atom_site_fract_y
_atom_site_fract_z
_atom_site_occupancy
Ce1 0.0000 0.0000 0.1415 1
Sm1 0.0000 0.0000 0.0000 1
Si1 0.0000 0.0000 0.2576 1
Au1 0.0000 0.0000 0.4030 1
```

Summary:
Mass density = 9.622 Mg/m³
Formation energy without anion corrections = -642.3 meV per atom



Entry from the Alexandria database: a geometry-optimized CaTlSCl2 structure (GGA-PBE).

```
data_CaTlSCl2
_space_group_name_H-M_alt 'P 4/m m m'
_space_group_IT_number 123
_space_group_name_Hall '-P 4 2'
_cell_length_a 5.343
_cell_length_b 5.343
_cell_length_c 5.557
_cell_angle_alpha 90.00
_cell_angle_beta 90.00
_cell_angle_gamma 90.00
loop_
_atom_site_label
_atom_site_fract_x
_atom_site_fract_y
_atom_site_fract_z
_atom_site_occupancy
Ca1 0.000 0.000 0.000 1
Tl1 0.500 0.500 0.500 1
S1 0.000 0.000 0.500 1
Cl1 0.000 0.500 0.000 1
```

Summary:
Mass density = 3.636 Mg/m³
Polymorph energy (0 for the lowest one) = 0.000 eV/atom
Formation energy without anion corrections = -1216.1 meV per atom



Entry from the Alexandria database: a geometry-optimized La3SiI3 structure (GGA-PBE).

```
data_La3SiI3
_space_group_name_H-M_alt 'I 41 3 2'
_space_group_IT_number 214
_space_group_name_Hall 'I 4bd 2c 3'
_cell_length_a 12.718
_cell_length_b 12.718
_cell_length_c 12.718
_cell_angle_alpha 90.00
_cell_angle_beta 90.00
_cell_angle_gamma 90.00
loop_
_atom_site_label
_atom_site_fract_x
_atom_site_fract_y
_atom_site_fract_z
_atom_site_occupancy
La1 0.109 0.359 0.125 1
Si1 0.125 0.125 0.125 1
I1 0.117 0.133 0.625 1
```

Summary:
Mass density = 5.331 Mg/m³
Polymorph energy (0 for the lowest one) = 0.000 eV/atom
Formation energy without anion corrections = -1259.9 meV per atom



Entry from the Alexandria database: a geometry-optimized YCr2Cd structure (GGA-PBE).

```
data_YCr2Cd
_space_group_name_H-M_alt 'C m m m'
_space_group_IT_number 65
_space_group_name_Hall '-C 2 2'
_cell_length_a 3.935
_cell_length_b 3.985
_cell_length_c 9.036
_cell_angle_alpha 90.00
_cell_angle_beta 90.00
_cell_angle_gamma 90.00
loop_
_atom_site_label
_atom_site_fract_x
_atom_site_fract_y
_atom_site_fract_z
_atom_site_occupancy
Y1 0.000 0.000 0.000 1
Cr1 0.000 0.500 0.264 1
Cd1 0.000 0.000 0.500 1
```

Summary:
Mass density = 7.156 Mg/m³
DFT formation energy = 875 meV per atom



Entry from the Alexandria database: a geometry-optimized Ti2AlVOs structure (GGA-PBE).

```
data_Ti2AlVOs
_space_group_name_H-M_alt 'P 4/m m m'
_space_group_IT_number 123
_space_group_name_Hall '-P 4 2'
_cell_length_a 4.567
_cell_length_b 4.567
_cell_length_c 4.265
_cell_angle_alpha 90.00
_cell_angle_beta 90.00
_cell_angle_gamma 90.00
loop_
_atom_site_label
_atom_site_fract_x
_atom_site_fract_y
_atom_site_fract_z
_atom_site_occupancy
Ti1 0.000 0.500 0.000 1
Al1 0.000 0.000 0.000 1
V1 0.000 0.000 0.500 1
Os1 0.500 0.500 0.500 1
```

Summary:
Mass density = 6.794 Mg/m³
DFT formation energy = 1248 meV per atom



Entry from the Alexandria database: a geometry-optimized ZrTlGaO4 structure (GGA-PBE).

```
data_ZrTlGaO4
_space_group_name_H-M_alt 'P 1 21/m 1'
_space_group_IT_number 11
_space_group_name_Hall '-P 2yb'
_cell_length_a 5.569
_cell_length_b 5.725
_cell_length_c 7.640
_cell_angle_alpha 90.00
_cell_angle_beta 90.02
_cell_angle_gamma 90.00
loop_
_atom_site_label
_atom_site_fract_x
_atom_site_fract_y
_atom_site_fract_z
_atom_site_occupancy
Zr1 0.178 0.250 0.470 1
Tl1 0.272 0.750 0.135 1
Ga1 0.335 0.750 0.661 1
O1 0.096 0.517 0.654 1
O2 0.372 0.250 0.233 1
O3 0.468 0.750 0.431 1
```

Summary:
Mass density = 5.853 Mg/m³
Formation energy without anion corrections = -2109.3 meV per atom



Entry from the Alexandria database: a geometry-optimized MnCuSe4 structure (GGA-PBE).

```
data_MnCuSe4
_space_group_name_H-M_alt 'P 1 21/c 1'
_space_group_IT_number 14
_space_group_name_Hall '-P 2ybc'
_cell_length_a 6.074
_cell_length_b 6.041
_cell_length_c 6.021
_cell_angle_alpha 90.00
_cell_angle_beta 91.05
_cell_angle_gamma 90.00
loop_
_atom_site_label
_atom_site_fract_x
_atom_site_fract_y
_atom_site_fract_z
_atom_site_occupancy
Mn1 0.000 0.000 0.000 1
Cu1 0.500 0.000 0.500 1
Se1 0.104 0.131 0.634 1
Se2 0.373 0.611 0.612 1
```

Summary:
Mass density = 6.529 Mg/m³
Polymorph energy (0 for the lowest one) = 0.000 eV/atom
Formation energy without anion corrections = -231.5 meV per atom